No. 1
The following is a PBE calculation of crystalline Ti12AlIn6 at its relaxed geometry, from the Alexandria database.

Results
Density: 6.0 g cm⁻³
Formation energy: -0.022 eV per atom
Magnetization: 0.03 Bohr magnetons per cell
Space-group type: R-3

The structure in CIF format:
```
data_Ti12AlIn6
_cell_length_a 7.091
_cell_length_b 7.091
_cell_length_c 7.091
_cell_angle_alpha 91.35
_cell_angle_beta 91.35
_cell_angle_gamma 91.35
_symmetry_space_group_name_H-M 'P 1'
_symmetry_Int_Tables_number 1
loop_
_symmetry_equiv_pos_as_xyz
'x,y,z'
loop_
_atom_site_label
_atom_site_fract_x
_atom_site_fract_y
_atom_site_fract_z
Ti1 0.031 0.955 0.291
Ti2 0.045 0.709 0.969
Ti3 0.126 0.431 0.353
Ti4 0.291 0.031 0.955
Ti5 0.353 0.126 0.431
Ti6 0.431 0.353 0.126
Ti7 0.569 0.647 0.874
Ti8 0.647 0.874 0.569
Ti9 0.709 0.969 0.045
Ti10 0.874 0.569 0.647
Ti11 0.955 0.291 0.031
Ti12 0.969 0.045 0.709
Al1 0.500 0.500 0.500
In1 0.218 0.377 0.756
In2 0.244 0.782 0.623
In3 0.377 0.756 0.218
In4 0.623 0.244 0.782
In5 0.756 0.218 0.377
In6 0.782 0.623 0.244
```

No. 2
The following is a PBE calculation of crystalline Dy2TmCd3 at its relaxed geometry, from the Alexandria database.

Results
Density: 8.9 g cm⁻³
Formation energy: -0.316 eV per atom
Magnetization: 0.00 Bohr magnetons per cell
Space-group type: P4/mmm

The structure in CIF format:
```
data_Dy2TmCd3
_cell_length_a 3.728
_cell_length_b 3.728
_cell_length_c 11.180
_cell_angle_alpha 90.00
_cell_angle_beta 90.00
_cell_angle_gamma 90.00
_symmetry_space_group_name_H-M 'P 1'
_symmetry_Int_Tables_number 1
loop_
_symmetry_equiv_pos_as_xyz
'x,y,z'
loop_
_atom_site_label
_atom_site_fract_x
_atom_site_fract_y
_atom_site_fract_z
Dy1 0.000 0.000 0.168
Dy2 0.000 0.000 0.832
Tm1 0.000 0.000 0.500
Cd1 0.500 0.500 0.000
Cd2 0.500 0.500 0.337
Cd3 0.500 0.500 0.663
```

No. 3
The following is a PBE calculation of crystalline Tl2ReW at its relaxed geometry, from the Alexandria database.

Results
Energy relative to the lowest polymorph listed for this composition: 646 meV/atom
Density: 16.8 g cm⁻³
Formation energy: 1.187 eV per atom
Magnetization: 0.02 Bohr magnetons per cell
Space-group type: Immm

The structure in CIF format:
```
data_Tl2ReW
_cell_length_a 5.738
_cell_length_b 5.738
_cell_length_c 5.738
_cell_angle_alpha 149.22
_cell_angle_beta 126.37
_cell_angle_gamma 63.12
_symmetry_space_group_name_H-M 'P 1'
_symmetry_Int_Tables_number 1
loop_
_symmetry_equiv_pos_as_xyz
'x,y,z'
loop_
_atom_site_label
_atom_site_fract_x
_atom_site_fract_y
_atom_site_fract_z
Tl1 0.245 0.245 0.000
Tl2 0.755 0.755 0.000
Re1 0.000 0.500 0.500
W1 0.500 0.000 0.500
```